Material: SrTcRh
Method: DFT, PBE
State: relaxed

E: -6.158 eV/atom
Mass density: 7.5 g cm⁻³

CIF file:
```
data_SrTcRh
_chemical_formula_sum 'Sr2 Tc2 Rh2'
_cell_length_a 2.923
_cell_length_b 3.835
_cell_length_c 11.327
_cell_angle_alpha 90.00
_cell_angle_beta 90.00
_cell_angle_gamma 90.00
_space_group_name_H-M_alt 'I m m 2'
_space_group_IT_number 44
_space_group_name_Hall 'I 2 -2'
loop_
_atom_site_label
_atom_site_fract_x
_atom_site_fract_y
_atom_site_fract_z
Sr1 0.000 0.000 0.000
Tc1 0.000 0.000 0.713
Rh1 0.000 0.000 0.292
```



Material: FeAgIr2
Method: DFT, PBE
State: relaxed

E: -7.066 eV/atom
Mass density: 15.4 g cm⁻³

CIF file:
```
data_FeAgIr2
_chemical_formula_sum 'Fe2 Ag2 Ir4'
_cell_length_a 9.385
_cell_length_b 2.752
_cell_length_c 4.726
_cell_angle_alpha 90.00
_cell_angle_beta 104.16
_cell_angle_gamma 90.00
_space_group_name_H-M_alt 'C 1 2/m 1'
_space_group_IT_number 12
_space_group_name_Hall '-C 2y'
loop_
_atom_site_label
_atom_site_fract_x
_atom_site_fract_y
_atom_site_fract_z
Fe1 0.000 0.000 0.000
Ag1 0.000 0.500 0.500
Ir1 0.232 0.500 0.232
```



Material: U6Fe16Si7
Method: DFT, PBE
State: relaxed

E_form (uncorrected): -9.2 kcal/mol of atoms
Mass density: 10.8 g cm⁻³

CIF file:
```
data_U6Fe16Si7
_chemical_formula_sum 'U24 Fe64 Si28'
_cell_length_a 11.582
_cell_length_b 11.582
_cell_length_c 11.582
_cell_angle_alpha 90.00
_cell_angle_beta 90.00
_cell_angle_gamma 90.00
_space_group_name_H-M_alt 'F -4 3 m'
_space_group_IT_number 216
_space_group_name_Hall 'F -4 2 3'
loop_
_atom_site_label
_atom_site_fract_x
_atom_site_fract_y
_atom_site_fract_z
U1 0.000 0.000 0.217
Fe1 0.121 0.121 0.379
Fe2 0.123 0.123 0.623
Fe3 0.159 0.159 0.159
Fe4 0.175 0.175 0.825
Si1 0.000 0.000 0.500
Si2 0.003 0.250 0.250
```



Material: TaRe2Hg
Method: DFT, PBE
State: relaxed

E: -8.963 eV/atom
Mass density: 18.3 g cm⁻³

CIF file:
```
data_TaRe2Hg
_chemical_formula_sum 'Ta1 Re2 Hg1'
_cell_length_a 2.951
_cell_length_b 3.965
_cell_length_c 5.854
_cell_angle_alpha 90.00
_cell_angle_beta 90.04
_cell_angle_gamma 90.00
_space_group_name_H-M_alt 'P 1 m 1'
_space_group_IT_number 6
_space_group_name_Hall 'P -2y'
loop_
_atom_site_label
_atom_site_fract_x
_atom_site_fract_y
_atom_site_fract_z
Ta1 0.000 0.000 0.000
Re1 0.003 0.000 0.567
Re2 0.504 0.500 0.765
Hg1 0.502 0.500 0.281
```



Material: Bi2IN2
Method: DFT, PBE
State: relaxed

E_form (uncorrected): 9.4 kcal/mol of atoms
Mass density: 8.2 g cm⁻³

CIF file:
```
data_Bi2IN2
_chemical_formula_sum 'Bi4 I2 N4'
_cell_length_a 4.062
_cell_length_b 4.062
_cell_length_c 13.982
_cell_angle_alpha 90.00
_cell_angle_beta 90.00
_cell_angle_gamma 90.00
_space_group_name_H-M_alt 'I 4/m m m'
_space_group_IT_number 139
_space_group_name_Hall '-I 4 2'
loop_
_atom_site_label
_atom_site_fract_x
_atom_site_fract_y
_atom_site_fract_z
Bi1 0.000 0.000 0.168
I1 0.000 0.000 0.500
N1 0.000 0.500 0.250
```



Material: HoZnAgF6
Method: DFT, PBE
State: relaxed

E_form (uncorrected): -64.0 kcal/mol of atoms
Mass density: 5.3 g cm⁻³

CIF file:
```
data_HoZnAgF6
_chemical_formula_sum 'Ho2 Zn2 Ag2 F12'
_cell_length_a 5.7438
_cell_length_b 5.7438
_cell_length_c 10.0065
_cell_angle_alpha 90.00
_cell_angle_beta 90.00
_cell_angle_gamma 120.00
_space_group_name_H-M_alt 'P -3 1 c'
_space_group_IT_number 163
_space_group_name_Hall '-P 3 2c'
loop_
_atom_site_label
_atom_site_fract_x
_atom_site_fract_y
_atom_site_fract_z
Ho1 0.3333 0.6667 0.2500
Zn1 0.3333 0.6667 0.7500
Ag1 0.0000 0.0000 0.0000
F1 0.0146 0.3753 0.6395
```



Material: KLa6S8
Method: DFT, PBE
State: relaxed

E_form (uncorrected): -44.3 kcal/mol of atoms
Mass density: 4.0 g cm⁻³

CIF file:
```
data_KLa6S8
_chemical_formula_sum 'K1 La6 S8'
_cell_length_a 11.2621
_cell_length_b 11.2621
_cell_length_c 4.2339
_cell_angle_alpha 90.00
_cell_angle_beta 90.00
_cell_angle_gamma 120.00
_space_group_name_H-M_alt 'P -3'
_space_group_IT_number 147
_space_group_name_Hall '-P 3'
loop_
_atom_site_label
_atom_site_fract_x
_atom_site_fract_y
_atom_site_fract_z
K1 0.0000 0.0000 0.0000
La1 0.1412 0.6666 0.7473
S1 0.0439 0.3631 0.7539
S2 0.3333 0.6667 0.2473
```



Material: ZnCuBi3
Method: DFT, PBE
State: relaxed

E: -2.890 eV/atom
Mass density: 8.5 g cm⁻³

CIF file:
```
data_ZnCuBi3
_chemical_formula_sum 'Zn1 Cu1 Bi3'
_cell_length_a 5.281
_cell_length_b 5.281
_cell_length_c 5.281
_cell_angle_alpha 90.00
_cell_angle_beta 90.00
_cell_angle_gamma 90.00
_space_group_name_H-M_alt 'P m -3 m'
_space_group_IT_number 221
_space_group_name_Hall '-P 4 2 3'
loop_
_atom_site_label
_atom_site_fract_x
_atom_site_fract_y
_atom_site_fract_z
Zn1 0.000 0.000 0.000
Cu1 0.500 0.500 0.500
Bi1 0.000 0.500 0.500
```



Material: TiMnHRu2
Method: DFT, PBE
State: relaxed

E: -8.023 eV/atom
Mass density: 8.7 g cm⁻³

CIF file:
```
data_TiMnHRu2
_chemical_formula_sum 'Ti1 Mn1 H1 Ru2'
_cell_length_a 4.074
_cell_length_b 4.074
_cell_length_c 3.525
_cell_angle_alpha 90.00
_cell_angle_beta 90.00
_cell_angle_gamma 90.00
_space_group_name_H-M_alt 'P 4/m m m'
_space_group_IT_number 123
_space_group_name_Hall '-P 4 2'
loop_
_atom_site_label
_atom_site_fract_x
_atom_site_fract_y
_atom_site_fract_z
Ti1 0.000 0.000 0.000
Mn1 0.500 0.500 0.000
H1 0.500 0.500 0.500
Ru1 0.000 0.500 0.500
```



Material: LiTa2W
Method: DFT, PBE
State: relaxed

E: -8.796 eV/atom
Mass density: 13.4 g cm⁻³

CIF file:
```
data_LiTa2W
_chemical_formula_sum 'Li4 Ta8 W4'
_cell_length_a 7.100
_cell_length_b 7.100
_cell_length_c 5.442
_cell_angle_alpha 90.00
_cell_angle_beta 90.00
_cell_angle_gamma 90.00
_space_group_name_H-M_alt 'I -4 2 d'
_space_group_IT_number 122
_space_group_name_Hall 'I -4 2bw'
loop_
_atom_site_label
_atom_site_fract_x
_atom_site_fract_y
_atom_site_fract_z
Li1 0.000 0.000 0.000
Ta1 0.238 0.250 0.125
W1 0.000 0.000 0.500
```



Material: FeHW2
Method: DFT, PBE
State: relaxed

E: -8.551 eV/atom
Mass density: 11.3 g cm⁻³

CIF file:
```
data_FeHW2
_chemical_formula_sum 'Fe3 H3 W6'
_cell_length_a 3.5193
_cell_length_b 3.5193
_cell_length_c 17.5038
_cell_angle_alpha 90.00
_cell_angle_beta 90.00
_cell_angle_gamma 120.00
_space_group_name_H-M_alt 'R -3 m'
_space_group_IT_number 166
_space_group_name_Hall '-R 3 2"'
loop_
_atom_site_label
_atom_site_fract_x
_atom_site_fract_y
_atom_site_fract_z
Fe1 0.0000 0.0000 0.0000
H1 0.0000 0.0000 0.5000
W1 0.0000 0.0000 0.3990
```



Material: Sb3Br4
Method: DFT, PBE
State: relaxed

E_form (uncorrected): 2.4 kcal/mol of atoms
Mass density: 5.8 g cm⁻³

CIF file:
```
data_Sb3Br4
_chemical_formula_sum 'Sb3 Br4'
_cell_length_a 6.4885
_cell_length_b 6.4885
_cell_length_c 5.4219
_cell_angle_alpha 90.00
_cell_angle_beta 90.00
_cell_angle_gamma 120.00
_space_group_name_H-M_alt 'P 6/m m m'
_space_group_IT_number 191
_space_group_name_Hall '-P 6 2'
loop_
_atom_site_label
_atom_site_fract_x
_atom_site_fract_y
_atom_site_fract_z
Sb1 0.0000 0.5000 0.0000
Br1 0.0000 0.0000 0.2547
Br2 0.3333 0.6667 0.5000
```



Material: Si2TcMo
Method: DFT, PBE
State: relaxed

E_form (uncorrected): -2.0 kcal/mol of atoms
Mass density: 7.3 g cm⁻³

CIF file:
```
data_Si2TcMo
_chemical_formula_sum 'Si4 Tc2 Mo2'
_cell_length_a 3.105
_cell_length_b 4.749
_cell_length_c 7.729
_cell_angle_alpha 90.00
_cell_angle_beta 90.00
_cell_angle_gamma 90.00
_space_group_name_H-M_alt 'C m m m'
_space_group_IT_number 65
_space_group_name_Hall '-C 2 2'
loop_
_atom_site_label
_atom_site_fract_x
_atom_site_fract_y
_atom_site_fract_z
Si1 0.000 0.000 0.245
Tc1 0.000 0.500 0.000
Mo1 0.000 0.500 0.500
```



Material: PaCuSi2
Method: DFT, PBE
State: relaxed

E_form (uncorrected): -4.7 kcal/mol of atoms
Mass density: 8.3 g cm⁻³

CIF file:
```
data_PaCuSi2
_chemical_formula_sum 'Pa2 Cu2 Si4'
_cell_length_a 5.361
_cell_length_b 8.646
_cell_length_c 3.019
_cell_angle_alpha 90.00
_cell_angle_beta 90.00
_cell_angle_gamma 90.00
_space_group_name_H-M_alt 'C m m m'
_space_group_IT_number 65
_space_group_name_Hall '-C 2 2'
loop_
_atom_site_label
_atom_site_fract_x
_atom_site_fract_y
_atom_site_fract_z
Pa1 0.000 0.000 0.000
Cu1 0.000 0.500 0.500
Si1 0.250 0.250 0.500
```



Material: Pm2Sn3SbPt4
Method: DFT, PBE
State: relaxed

E_form (uncorrected): -18.6 kcal/mol of atoms
Mass density: 11.3 g cm⁻³

CIF file:
```
data_Pm2Sn3SbPt4
_chemical_formula_sum 'Pm2 Sn3 Sb1 Pt4'
_cell_length_a 4.638
_cell_length_b 4.638
_cell_length_c 10.607
_cell_angle_alpha 90.00
_cell_angle_beta 90.00
_cell_angle_gamma 90.00
_space_group_name_H-M_alt 'P -4 m 2'
_space_group_IT_number 115
_space_group_name_Hall 'P -4 -2'
loop_
_atom_site_label
_atom_site_fract_x
_atom_site_fract_y
_atom_site_fract_z
Pm1 0.000 0.500 0.232
Sn1 0.000 0.500 0.872
Sn2 0.500 0.500 0.500
Sb1 0.000 0.000 0.500
Pt1 0.000 0.000 0.000
Pt2 0.000 0.500 0.628
Pt3 0.500 0.500 0.000
```



Material: Pm2Y3In
Method: DFT, PBE
State: relaxed

E: -5.427 eV/atom
Mass density: 6.0 g cm⁻³

CIF file:
```
data_Pm2Y3In
_chemical_formula_sum 'Pm4 Y6 In2'
_cell_length_a 4.917
_cell_length_b 15.293
_cell_length_c 4.921
_cell_angle_alpha 90.00
_cell_angle_beta 90.00
_cell_angle_gamma 90.00
_space_group_name_H-M_alt 'C m m m'
_space_group_IT_number 65
_space_group_name_Hall '-C 2 2'
loop_
_atom_site_label
_atom_site_fract_x
_atom_site_fract_y
_atom_site_fract_z
Pm1 0.000 0.162 0.000
Y1 0.000 0.000 0.500
Y2 0.000 0.336 0.500
In1 0.000 0.500 0.000
```



Material: CeNdTm2Se4
Method: DFT, PBE
State: relaxed

E_form (uncorrected): -40.6 kcal/mol of atoms
Mass density: 7.9 g cm⁻³

CIF file:
```
data_CeNdTm2Se4
_chemical_formula_sum 'Ce1 Nd1 Tm2 Se4'
_cell_length_a 7.038
_cell_length_b 4.049
_cell_length_c 7.311
_cell_angle_alpha 90.00
_cell_angle_beta 108.59
_cell_angle_gamma 90.00
_space_group_name_H-M_alt 'P 1 2/m 1'
_space_group_IT_number 10
_space_group_name_Hall '-P 2y'
loop_
_atom_site_label
_atom_site_fract_x
_atom_site_fract_y
_atom_site_fract_z
Ce1 0.000 0.000 0.000
Nd1 0.500 0.500 0.000
Tm1 0.000 0.500 0.500
Tm2 0.500 0.000 0.500
Se1 0.242 0.000 0.731
Se2 0.255 0.500 0.268
```



Material: Pr2Ho4Mg
Method: DFT, PBE
State: relaxed

E: -3.885 eV/atom
Mass density: 7.0 g cm⁻³

CIF file:
```
data_Pr2Ho4Mg
_chemical_formula_sum 'Pr4 Ho8 Mg2'
_cell_length_a 8.228
_cell_length_b 8.228
_cell_length_c 6.725
_cell_angle_alpha 90.00
_cell_angle_beta 90.00
_cell_angle_gamma 90.00
_space_group_name_H-M_alt 'I -4 2 m'
_space_group_IT_number 121
_space_group_name_Hall 'I -4 2'
loop_
_atom_site_label
_atom_site_fract_x
_atom_site_fract_y
_atom_site_fract_z
Pr1 0.000 0.500 0.250
Ho1 0.203 0.203 0.426
Mg1 0.000 0.000 0.000
```



Material: YZn2Pd8
Method: DFT, PBE
State: relaxed

E: -5.102 eV/atom
Mass density: 10.1 g cm⁻³

CIF file:
```
data_YZn2Pd8
_chemical_formula_sum 'Y2 Zn4 Pd16'
_cell_length_a 14.084
_cell_length_b 4.116
_cell_length_c 6.381
_cell_angle_alpha 90.00
_cell_angle_beta 107.91
_cell_angle_gamma 90.00
_space_group_name_H-M_alt 'C 1 2/m 1'
_space_group_IT_number 12
_space_group_name_Hall '-C 2y'
loop_
_atom_site_label
_atom_site_fract_x
_atom_site_fract_y
_atom_site_fract_z
Y1 0.000 0.000 0.000
Zn1 0.224 0.500 0.652
Pd1 0.045 0.500 0.722
Pd2 0.101 0.000 0.474
Pd3 0.149 0.500 0.213
Pd4 0.184 0.000 0.925
```



Material: In4RhSe
Method: DFT, PBE
State: relaxed

E_form (uncorrected): 10.7 kcal/mol of atoms
Mass density: 7.3 g cm⁻³

CIF file:
```
data_In4RhSe
_chemical_formula_sum 'In16 Rh4 Se4'
_cell_length_a 8.366
_cell_length_b 8.366
_cell_length_c 8.366
_cell_angle_alpha 90.00
_cell_angle_beta 90.00
_cell_angle_gamma 90.00
_space_group_name_H-M_alt 'F -4 3 m'
_space_group_IT_number 216
_space_group_name_Hall 'F -4 2 3'
loop_
_atom_site_label
_atom_site_fract_x
_atom_site_fract_y
_atom_site_fract_z
In1 0.125 0.125 0.125
Rh1 0.250 0.250 0.750
Se1 0.000 0.000 0.500
```